Below is an optimized crystal structure of TmMoO4, with properties calculated at the PBE with a Hubbard U level.

The structure belongs to space group P2_1/m (No. 11); the cell edges are 4.083, 7.198 and 6.232 Å and the angles 90.00°, 108.97° and 90.00°. The inequivalent atoms are Tm at (0.064, 0.250, 0.127), Mo at (0.213, 0.750, 0.423), O at (0.102, 0.566, 0.201), O at (0.261, 0.250, 0.524) and O at (0.376, 0.750, 0.751).

The total DFT energy (no corrections) comes out at -7.676 eV/atom. The calculation puts the density at 6.305 Mg/m³. As for the magnetic moment: 2.00 μB/cell. Its crystal system is monoclinic.